# Cu2Ag3

Crystalline Cu2Ag3 at its relaxed geometry (PBE, OQMD via LeMat-Bulk).

a = 4.8834 Å, b = 4.8834 Å, c = 11.9248 Å
α = 99.66°, β = 99.66°, γ = 33.97°
Closest atoms and distances in Å follow each position.
Atoms (fractional coordinates):
1 Ag 0.0943 0.0943 0.1987  7 Ag 2.75-2.85, 5 Cu 2.77-2.98
2 Cu 0.4048 0.4048 0.3123  4 Cu 2.67-2.85, 8 Ag 2.74-2.98
3 Cu 0.0000 0.0000 0.5000  6 Cu 2.67-2.85, 6 Ag 2.78-2.85
4 Ag 0.1954 0.1954 0.8966  7 Ag 2.75-2.88, 5 Cu 2.77-2.90
5 Cu 0.5952 0.5952 0.6877  4 Cu 2.67-2.85, 8 Ag 2.74-2.98
6 Ag 0.9057 0.9057 0.8013  7 Ag 2.75-2.85, 5 Cu 2.77-2.98
7 Ag 0.3004 0.3004 0.6003  6 Cu 2.74-2.85, 6 Ag 2.80-2.85
8 Ag 0.8046 0.8046 0.1034  7 Ag 2.75-2.88, 5 Cu 2.77-2.90
9 Ag 0.6996 0.6996 0.3997  6 Cu 2.74-2.85, 6 Ag 2.80-2.85
10 Cu 0.5000 0.5000 0.0000  10 Ag 2.77-2.90, 2 Cu 2.85

Properties
Energy above the most stable polymorph in this dataset: 0.067 eV/atom
ΔE_f: 0.10 eV per atom